Compound: MnBe2Tl
Source: the Alexandria database
Functional: GGA-PBE
Structure: relaxed

Unit cell a=2.9900 b=2.9900 c=6.0697 alpha=90.00 beta=90.00 gamma=90.00
Sites, in units of the cell vectors:
Mn 0.0000 0.0000 0.0000
Be 0.5000 0.5000 0.1678
Be 0.5000 0.5000 0.8322
Tl 0.0000 0.0000 0.5000

Summary:
theoretical density: 8.49 g cm⁻³
space group: P4/mmm, No. 123
electronic total energy: -4.36 eV/atom
N(E_F): 0.4463 states/eV per atom
polymorph energy (0 for the lowest one): 0.000 eV/atom
size of the total moment: 1.72 μB/f.u.
energy of formation: 0.389 eV per atom

=====

Compound: Ac2YAl9
Source: the Alexandria database
Functional: GGA-PBE
Structure: relaxed

Unit cell a=9.6645 b=9.6645 c=9.6645 alpha=34.78 beta=34.78 gamma=34.78
Sites, in units of the cell vectors:
Ac 0.1410 0.1410 0.1410
Ac 0.8590 0.8590 0.8590
Y 0.0000 0.0000 0.0000
Al 0.0732 0.5817 0.5817
Al 0.3347 0.3347 0.3347
Al 0.4183 0.4183 0.9268
Al 0.4183 0.9268 0.4183
Al 0.5000 0.5000 0.5000
Al 0.5817 0.0732 0.5817
Al 0.5817 0.5817 0.0732
Al 0.6653 0.6653 0.6653
Al 0.9268 0.4183 0.4183

Summary:
theoretical density: 4.98 g cm⁻³
space group: R-3m, No. 166
electronic total energy: -4.30 eV/atom
N(E_F): 0.4465 states/eV per atom
size of the total moment: 0.00 μB/f.u.
energy of formation: -0.271 eV per atom

=====

Compound: Ca5Mg3
Source: the Alexandria database
Functional: GGA-PBE
Structure: relaxed

Unit cell a=9.8492 b=9.8492 c=6.7256 alpha=90.00 beta=90.00 gamma=120.00
Sites, in units of the cell vectors:
Ca 0.0000 0.2458 0.2500
Ca 0.0000 0.7542 0.7500
Ca 0.2458 0.0000 0.2500
Ca 0.2458 0.2458 0.7500
Ca 0.3333 0.6667 0.0000
Ca 0.3333 0.6667 0.5000
Ca 0.6667 0.3333 0.0000
Ca 0.6667 0.3333 0.5000
Ca 0.7542 0.0000 0.7500
Ca 0.7542 0.7542 0.2500
Mg 0.0000 0.4044 0.7500
Mg 0.0000 0.5956 0.2500
Mg 0.4044 0.0000 0.7500
Mg 0.4044 0.4044 0.2500
Mg 0.5956 0.0000 0.2500
Mg 0.5956 0.5956 0.7500

Summary:
theoretical density: 1.61 g cm⁻³
space group: P6_3/mcm, No. 193
electronic total energy: -1.87 eV/atom
N(E_F): 0.9944 states/eV per atom
polymorph energy (0 for the lowest one): 0.045 eV/atom
size of the total moment: 0.00 μB/f.u.
energy of formation: -0.017 eV per atom

=====

Compound: Sr2Li3Zn2
Source: the Alexandria database
Functional: GGA-PBE
Structure: relaxed

Unit cell a=11.4835 b=11.4835 c=4.0836 alpha=90.00 beta=90.00 gamma=158.29
Sites, in units of the cell vectors:
Sr 0.1590 0.8410 0.0000
Sr 0.8410 0.1590 0.0000
Li 0.0000 0.0000 0.0000
Li 0.4350 0.5650 0.5000
Li 0.5650 0.4350 0.5000
Zn 0.2812 0.7188 0.5000
Zn 0.7188 0.2812 0.5000

Summary:
theoretical density: 2.73 g cm⁻³
space group: Cmmm, No. 65
electronic total energy: -1.73 eV/atom
N(E_F): 0.6361 states/eV per atom
polymorph energy (0 for the lowest one): 0.049 eV/atom
size of the total moment: 0.00 μB/f.u.
energy of formation: -0.067 eV per atom

=====

Compound: LaZn5As4
Source: the Alexandria database
Functional: GGA-PBE
Structure: relaxed

Unit cell a=8.2239 b=8.2239 c=8.2239 alpha=150.90 beta=124.66 gamma=63.74
Sites, in units of the cell vectors:
La 0.0000 0.0000 0.0000
Zn 0.0273 0.3228 0.7045
Zn 0.3817 0.6772 0.7045
Zn 0.5000 0.0000 0.5000
Zn 0.6183 0.3228 0.2955
Zn 0.9727 0.6772 0.2955
As 0.2281 0.2281 0.0000
As 0.2862 0.5000 0.7862
As 0.7138 0.5000 0.2138
As 0.7719 0.7719 0.0000

Summary:
theoretical density: 5.77 g cm⁻³
space group: Immm, No. 71
electronic total energy: -3.28 eV/atom
N(E_F): 0.2794 states/eV per atom
size of the total moment: 0.00 μB/f.u.
energy of formation: -0.288 eV per atom

=====

Compound: NaBeHO2
Source: the Alexandria database
Functional: GGA-PBE
Structure: relaxed

Unit cell a=4.9738 b=3.7818 c=4.5413 alpha=90.00 beta=104.58 gamma=90.00
Sites, in units of the cell vectors:
Na 0.0000 0.2155 0.2500
Na 0.0000 0.7845 0.7500
Be 0.5000 0.4935 0.7500
Be 0.5000 0.5065 0.2500
H 0.5000 0.0000 0.0000
H 0.5000 0.0000 0.5000
O 0.3348 0.2563 0.9556
O 0.3348 0.7437 0.4556
O 0.6652 0.2563 0.5444
O 0.6652 0.7437 0.0444

Summary:
theoretical density: 2.61 g cm⁻³
space group: P2/c, No. 13
electronic total energy: -5.45 eV/atom
N(E_F): 0.0000 states/eV per atom
size of the total moment: 0.00 μB/f.u.

=====

Compound: CaNi2Te
Source: the Alexandria database
Functional: GGA-PBE
Structure: relaxed

Unit cell a=3.5026 b=3.5026 c=6.1226 alpha=90.00 beta=90.00 gamma=90.00
Sites, in units of the cell vectors:
Ca 0.0000 0.0000 0.0000
Ni 0.5000 0.5000 0.2931
Ni 0.5000 0.5000 0.7069
Te 0.0000 0.0000 0.5000

Summary:
theoretical density: 6.30 g cm⁻³
space group: P4/mmm, No. 123
raw formation energy: -0.0325 eV per atom
electronic total energy: -4.21 eV/atom
N(E_F): 0.7895 states/eV per atom
size of the total moment: 0.00 μB/f.u.

=====

Compound: TbNd2Dy5Er
Source: the Alexandria database
Functional: GGA-PBE
Structure: relaxed

Unit cell a=9.9649 b=9.9649 c=9.9649 alpha=128.80 beta=128.80 gamma=75.33
Sites, in units of the cell vectors:
Tb 0.2500 0.2500 0.0000
Tb 0.7500 0.7500 0.0000
Nd 0.1182 0.6182 0.7365
Nd 0.3818 0.1182 0.5000
Nd 0.6182 0.8818 0.5000
Nd 0.8818 0.3818 0.2636
Dy 0.0000 0.0000 0.0000
Dy 0.0723 0.1464 0.5000
Dy 0.1464 0.6464 0.0740
Dy 0.3536 0.4277 0.5000
Dy 0.4277 0.9277 0.0740
Dy 0.5000 0.5000 0.0000
Dy 0.5723 0.0723 0.9260
Dy 0.6464 0.5723 0.5000
Dy 0.8536 0.3536 0.9260
Dy 0.9277 0.8536 0.5000
Er 0.2500 0.7500 0.5000
Er 0.7500 0.2500 0.5000

Summary:
theoretical density: 8.10 g cm⁻³
space group: I4/mcm, No. 140
electronic total energy: -4.36 eV/atom
N(E_F): 1.3217 states/eV per atom
size of the total moment: 0.00 μB/f.u.
energy of formation: 0.274 eV per atom